PaFeCoO6: optimized geometry, PBE+U.

```
PaFeCoO6
1.0
4.748 0.000 0.000
0.000 4.748 0.000
0.000 0.000 9.409
Pa Fe Co O
2 2 2 12
direct
0.000 0.000 0.000
0.500 0.500 0.500
0.000 0.000 0.665
0.500 0.500 0.165
0.000 0.000 0.332
0.500 0.500 0.832
0.177 0.177 0.491
0.197 0.197 0.181
0.213 0.213 0.826
0.287 0.713 0.326
0.303 0.697 0.681
0.323 0.677 0.991
0.677 0.323 0.991
0.697 0.303 0.681
0.713 0.287 0.326
0.787 0.787 0.826
0.803 0.803 0.181
0.823 0.823 0.491
```

Calculated values
E, eV per atom: -7.491